Arrangement w

A plane-wave DFT calculation with PBE-GGA was carried out for a relaxed SrFeCo crystal.

a = 5.925 Å, b = 5.925 Å, c = 5.925 Å
α = 147.90°, β = 147.76°, γ = 46.14°
Positions (direct):
Sr (0.000, 0.000, 0.000)
Fe (0.722, 0.722, 0.000)
Co (0.278, 0.278, 0.000)

Results
The symmetry is No. 44. As for the total magnetic moment: 3.573 μB per cell.

=====

Arrangement x

A plane-wave DFT calculation with PBE-GGA was carried out for a relaxed SrFeCo crystal.

a = 4.530 Å, b = 4.530 Å, c = 4.530 Å
α = 60.00°, β = 60.00°, γ = 60.00°
Positions (direct):
Sr (0.000, 0.000, 0.000)
Fe (0.500, 0.500, 0.500)
Co (0.750, 0.750, 0.750)

Results
The symmetry is No. 216. As for the total magnetic moment: 4.283 μB per cell.

=====

Which of them is the most stable, and which is the least stable? arrangement w and arrangement x, in that order.

=====

Arrangement w

A plane-wave DFT calculation with PBE-GGA was carried out for a relaxed TaFe3Co crystal.

a = 4.212 Å, b = 4.212 Å, c = 4.212 Å
α = 90.00°, β = 90.00°, γ = 90.00°
Positions (direct):
Ta (0.000, 0.000, 0.000)
Fe (0.000, 0.500, 0.500)
Fe (0.500, 0.000, 0.500)
Fe (0.500, 0.500, 0.000)
Co (0.500, 0.500, 0.500)

Results
The symmetry is No. 221. As for the total magnetic moment: 7.148 μB per cell.

=====

Arrangement x

A plane-wave DFT calculation with PBE-GGA was carried out for a relaxed TaFe3Co crystal.

a = 4.456 Å, b = 4.456 Å, c = 4.456 Å
α = 90.00°, β = 90.00°, γ = 90.00°
Positions (direct):
Ta (0.000, 0.000, 0.000)
Fe (0.000, 0.000, 0.500)
Fe (0.000, 0.500, 0.000)
Fe (0.500, 0.000, 0.000)
Co (0.500, 0.500, 0.500)

Results
The symmetry is No. 221. As for the total magnetic moment: 5.026 μB per cell.

=====

Which of them is the most stable, and which is the least stable? arrangement w and arrangement x, in that order.

=====

Arrangement w

A plane-wave DFT calculation with PBE-GGA was carried out for a relaxed TaFeCo crystal.

a = 4.027 Å, b = 4.027 Å, c = 4.027 Å
α = 60.00°, β = 60.00°, γ = 60.00°
Positions (direct):
Ta (0.000, 0.000, 0.000)
Fe (0.250, 0.250, 0.250)
Co (0.750, 0.750, 0.750)

Results
The symmetry is No. 216. As for the total magnetic moment: 1.113 μB per cell.

=====

Arrangement x

A plane-wave DFT calculation with PBE-GGA was carried out for a relaxed TaFeCo crystal.

a = 4.025 Å, b = 4.025 Å, c = 4.025 Å
α = 60.00°, β = 60.00°, γ = 60.00°
Positions (direct):
Ta (0.000, 0.000, 0.000)
Fe (0.500, 0.500, 0.500)
Co (0.250, 0.250, 0.250)

Results
The symmetry is No. 216. As for the total magnetic moment: 2.798 μB per cell.

=====

Which of them is the most stable, and which is the least stable? arrangement x and arrangement w, in that order.

=====

Arrangement w

A plane-wave DFT calculation with PBE-GGA was carried out for a relaxed TaFeCo crystal.

a = 4.196 Å, b = 4.196 Å, c = 2.657 Å
α = 90.00°, β = 90.00°, γ = 120.00°
Positions (direct):
Ta (0.000, 0.000, 0.000)
Fe (0.667, 0.333, 0.642)
Co (0.333, 0.667, 0.364)

Results
The symmetry is No. 156. As for the total magnetic moment: 3.208 μB per cell.

=====

Arrangement x

A plane-wave DFT calculation with PBE-GGA was carried out for a relaxed TaFeCo crystal.

a = 4.783 Å, b = 4.783 Å, c = 4.783 Å
α = 120.65°, β = 119.28°, γ = 90.07°
Positions (direct):
Ta (0.372, 0.122, 0.250)
Ta (0.628, 0.878, 0.750)
Fe (0.000, 0.000, 0.500)
Fe (0.000, 0.500, 0.000)
Co (0.000, 0.500, 0.500)
Co (0.500, 0.500, 0.000)

Results
The symmetry is No. 74. As for the total magnetic moment: 3.398 μB per cell.

=====

Which of them is the most stable, and which is the least stable? arrangement x and arrangement w, in that order.

=====

Arrangement w

A plane-wave DFT calculation with PBE-GGA was carried out for a relaxed FeCoTc2 crystal.

a = 4.860 Å, b = 4.860 Å, c = 4.860 Å
α = 143.54°, β = 129.29°, γ = 64.06°
Positions (direct):
Fe (0.000, 0.000, 0.000)
Co (0.772, 0.272, 0.500)
Tc (0.249, 0.749, 0.500)
Tc (0.511, 0.511, 0.000)

Results
The symmetry is No. 44. As for the total magnetic moment: 4.515 μB per cell.

=====

Arrangement x

A plane-wave DFT calculation with PBE-GGA was carried out for a relaxed FeCoTc2 crystal.

a = 2.618 Å, b = 3.638 Å, c = 5.232 Å
α = 90.00°, β = 90.00°, γ = 90.00°
Positions (direct):
Fe (0.000, 0.000, 0.000)
Co (0.000, 0.000, 0.500)
Tc (0.500, 0.500, 0.246)
Tc (0.500, 0.500, 0.754)

Results
The symmetry is No. 47. As for the total magnetic moment: 0.000 μB per cell.

=====

Which of them is the most stable, and which is the least stable? arrangement x and arrangement w, in that order.

=====

Arrangement w

A plane-wave DFT calculation with PBE-GGA was carried out for a relaxed FeCoTc2 crystal.

a = 4.151 Å, b = 4.151 Å, c = 4.151 Å
α = 60.00°, β = 60.00°, γ = 60.00°
Positions (direct):
Fe (0.000, 0.000, 0.000)
Co (0.500, 0.500, 0.500)
Tc (0.250, 0.250, 0.250)
Tc (0.750, 0.750, 0.750)

Results
The symmetry is No. 225. As for the total magnetic moment: 0.000 μB per cell.

=====

Arrangement x

A plane-wave DFT calculation with PBE-GGA was carried out for a relaxed FeCoTc2 crystal.

a = 2.940 Å, b = 2.940 Å, c = 6.027 Å
α = 90.00°, β = 90.00°, γ = 90.00°
Positions (direct):
Fe (0.000, 0.000, 0.000)
Co (0.000, 0.000, 0.500)
Tc (0.500, 0.500, 0.247)
Tc (0.500, 0.500, 0.753)

Results
The symmetry is No. 123. As for the total magnetic moment: 4.729 μB per cell.

=====

Arrangement y

A plane-wave DFT calculation with PBE-GGA was carried out for a relaxed FeCoTc2 crystal.

a = 8.620 Å, b = 8.620 Å, c = 8.620 Å
α = 17.66°, β = 17.66°, γ = 17.66°
Positions (direct):
Fe (0.000, 0.000, 0.000)
Co (0.500, 0.500, 0.500)
Tc (0.250, 0.250, 0.250)
Tc (0.750, 0.750, 0.750)

Results
The symmetry is No. 166. As for the total magnetic moment: 0.353 μB per cell.

=====

Which of them is the most stable, and which is the least stable? arrangement y and arrangement w, in that order.